Entry w
A plane-wave DFT calculation with PBE with a Hubbard U was carried out for an optimized crystal structure of CoSbTe2O.

Cell: 4.938 4.938 4.938 Å, 90.00 90.00 90.00°
Space group P4/mmm (No. 123)
Unique sites:
Co1 0.000 0.000 0.000
Sb1 0.000 0.000 0.500
Te1 0.000 0.500 0.000
O1 0.500 0.500 0.500

Computed properties:
**Total magnetic moment**: 1.6 Bohr magnetons per cell

Entry x
A plane-wave DFT calculation with PBE with a Hubbard U was carried out for an optimized crystal structure of CoSbTe2O.

Cell: 4.850 4.850 4.704 Å, 90.00 90.00 90.00°
Space group P4/mmm (No. 123)
Unique sites:
Co1 0.000 0.000 0.000
Sb1 0.500 0.500 0.000
Te1 0.000 0.500 0.500
O1 0.500 0.500 0.500

Computed properties:
**Total magnetic moment**: 2.5 Bohr magnetons per cell

Which of them is the most stable? Correct choice: entry x.

Entry w
A plane-wave DFT calculation with PBE with a Hubbard U was carried out for an optimized crystal structure of CoSb2TeO.

Cell: 4.879 4.879 5.025 Å, 90.00 90.00 90.00°
Space group P4/mmm (No. 123)
Unique sites:
Co1 0.000 0.000 0.000
Sb1 0.000 0.500 0.000
Te1 0.000 0.000 0.500
O1 0.500 0.500 0.500

Computed properties:
**Total magnetic moment**: 2.9 Bohr magnetons per cell

Entry x
A plane-wave DFT calculation with PBE with a Hubbard U was carried out for an optimized crystal structure of CoSb2TeO.

Cell: 4.693 4.693 4.932 Å, 90.00 90.00 90.00°
Space group P4/mmm (No. 123)
Unique sites:
Co1 0.000 0.000 0.000
Sb1 0.000 0.500 0.500
Te1 0.500 0.500 0.000
O1 0.500 0.500 0.500

Computed properties:
**Total magnetic moment**: 2.5 Bohr magnetons per cell

Which of them is the most stable? Correct choice: entry x.